YPu2Fe9 (GGA-PBE, optimized geometry); formation enthalpy at 0 K = 0.089 eV/atom; size of the total moment = 23.78 μB per formula unit
1.0
2.4821 1.4330 8.2704
-2.4821 1.4330 8.2704
0.0000 -2.8660 8.2704
Y Pu Fe
1 2 9
Direct
0.0000 0.0000 0.0000
0.1471 0.1471 0.1471
0.8529 0.8529 0.8529
0.0800 0.5814 0.5814
0.3338 0.3338 0.3338
0.4186 0.4186 0.9200
0.4186 0.9200 0.4186
0.5000 0.5000 0.5000
0.5814 0.0800 0.5814
0.5814 0.5814 0.0800
0.6662 0.6662 0.6662
0.9200 0.4186 0.4186